1.
A relaxed LiMnSb2Te crystal, computed with PBE.

Values from the calculation:
- raw formation energy (eV per atom) = 0.148
- D(E_F) (states/eV/atom) = 0.581
- symmetry = No. 123
- uncorrected energy (eV per atom) = -4.346
- polymorph energy (0 for the lowest one) (meV/atom) = 0

a = 5.045 Å, b = 5.045 Å, c = 5.592 Å
α = 90.00°, β = 90.00°, γ = 90.00°
Fractional positions:
Li 0.000 0.000 0.000
Mn 0.500 0.500 0.500
Sb 0.000 0.500 0.500
Sb 0.500 0.000 0.500
Te 0.500 0.500 0.000

---

2.
A relaxed LiMnSb2Te crystal, computed with PBE.

Values from the calculation:
- raw formation energy (eV per atom) = 0.989
- D(E_F) (states/eV/atom) = 1.159
- symmetry = No. 123
- uncorrected energy (eV per atom) = -3.505
- polymorph energy (0 for the lowest one) (meV/atom) = 840

a = 4.878 Å, b = 4.878 Å, c = 5.065 Å
α = 90.00°, β = 90.00°, γ = 90.00°
Fractional positions:
Li 0.000 0.000 0.000
Mn 0.500 0.500 0.500
Sb 0.000 0.500 0.000
Sb 0.500 0.000 0.000
Te 0.000 0.000 0.500

---

- What is the uncorrected energy in the first record?
  -4.346 eV per atom

---

- Number 2 is which compound?
  LiMnSb2Te